Record 1
Here is a relaxed structure of Tl3Hg2S4 from Alexandria. Energies are from PBE-GGA.

Symmetry = C2/c (15)

Unit cell a=8.6027 b=8.6027 c=6.9993 alpha=92.39 beta=92.39 gamma=78.22
Atoms (fractional coordinates):
Tl1 0.1152 0.8848 0.7500
Tl2 0.2498 0.5139 0.0724
Tl3 0.4861 0.7502 0.4276
Tl4 0.5139 0.2498 0.5724
Tl5 0.7502 0.4861 0.9276
Tl6 0.8848 0.1152 0.2500
Hg1 0.0965 0.3329 0.6210
Hg2 0.3329 0.0965 0.1210
Hg3 0.6671 0.9035 0.8790
Hg4 0.9035 0.6671 0.3790
S1 0.0652 0.2402 0.9582
S2 0.2038 0.5698 0.5116
S3 0.2402 0.0652 0.4582
S4 0.4302 0.7962 0.9884
S5 0.5698 0.2038 0.0116
S6 0.7598 0.9348 0.5418
S7 0.7962 0.4302 0.4884
S8 0.9348 0.7598 0.0418

Record 2
Here is a relaxed structure of Tl2HgS8 from Alexandria. Energies are from PBE-GGA.

Symmetry = P-1 (2)

Unit cell a=4.1985 b=7.8964 c=10.3621 alpha=109.22 beta=92.45 gamma=103.73
Atoms (fractional coordinates):
Tl1 0.1542 0.3718 0.0695
Tl2 0.8458 0.6282 0.9305
Hg1 0.5000 0.5000 0.5000
S1 0.0370 0.1614 0.7762
S2 0.2289 0.7215 0.6402
S3 0.2858 0.7320 0.2872
S4 0.4160 0.8157 0.8458
S5 0.5840 0.1843 0.1542
S6 0.7142 0.2680 0.7128
S7 0.7711 0.2785 0.3598
S8 0.9630 0.8386 0.2238

Record 3
Here is a relaxed structure of Tl6Hg23S from Alexandria. Energies are from PBE-GGA.

Symmetry = Fm-3m (225)

Unit cell a=10.6705 b=10.6705 c=10.6705 alpha=60.00 beta=60.00 gamma=60.00
Atoms (fractional coordinates):
Tl1 0.2022 0.2022 0.7978
Tl2 0.2022 0.7978 0.2022
Tl3 0.2022 0.7978 0.7978
Tl4 0.7978 0.2022 0.2022
Tl5 0.7978 0.2022 0.7978
Tl6 0.7978 0.7978 0.2022
Hg1 0.0000 0.0000 0.5000
Hg2 0.0000 0.5000 0.0000
Hg3 0.0000 0.5000 0.5000
Hg4 0.1449 0.6184 0.6184
Hg5 0.1636 0.1636 0.1636
Hg6 0.1636 0.1636 0.5091
Hg7 0.1636 0.5091 0.1636
Hg8 0.3816 0.3816 0.3816
Hg9 0.3816 0.3816 0.8551
Hg10 0.3816 0.8551 0.3816
Hg11 0.4909 0.8364 0.8364
Hg12 0.5000 0.0000 0.0000
Hg13 0.5000 0.0000 0.5000
Hg14 0.5000 0.5000 0.0000
Hg15 0.5000 0.5000 0.5000
Hg16 0.5091 0.1636 0.1636
Hg17 0.6184 0.1449 0.6184
Hg18 0.6184 0.6184 0.1449
Hg19 0.6184 0.6184 0.6184
Hg20 0.8364 0.4909 0.8364
Hg21 0.8364 0.8364 0.4909
Hg22 0.8364 0.8364 0.8364
Hg23 0.8551 0.3816 0.3816
S1 0.0000 0.0000 0.0000

Record 4
Here is a relaxed structure of TlHgS from Alexandria. Energies are from PBE-GGA.

Symmetry = P3m1 (156)
E above lowest polymorph = 0.00 kJ per mole of atoms

Unit cell a=4.1104 b=4.1104 c=5.3706 alpha=90.00 beta=90.00 gamma=120.00
Atoms (fractional coordinates):
Tl1 0.0000 0.0000 0.0000
Hg1 0.3333 0.6667 0.6028
S1 0.6667 0.3333 0.3235

Record 5
Here is a relaxed structure of Tl3Hg2S from Alexandria. Energies are from PBE-GGA.

Symmetry = C2/c (15)

Unit cell a=7.4273 b=7.4273 c=7.0418 alpha=97.35 beta=97.35 gamma=105.97
Atoms (fractional coordinates):
Tl1 0.0000 0.5000 0.0000
Tl2 0.1156 0.2687 0.4645
Tl3 0.2687 0.1156 0.9645
Tl4 0.5000 0.0000 0.5000
Tl5 0.7313 0.8844 0.0355
Tl6 0.8844 0.7313 0.5355
Hg1 0.3015 0.6985 0.7500
Hg2 0.4282 0.5718 0.2500
Hg3 0.5718 0.4282 0.7500
Hg4 0.6985 0.3015 0.2500
S1 0.0952 0.9048 0.2500
S2 0.9048 0.0952 0.7500

Record 6
Here is a relaxed structure of TlHg4S5 from Alexandria. Energies are from PBE-GGA.

Symmetry = I4/m (87)

Unit cell a=6.8693 b=6.8693 c=6.8693 alpha=99.65 beta=99.65 gamma=131.66
Atoms (fractional coordinates):
Tl1 0.0000 0.0000 0.0000
Hg1 0.1996 0.6016 0.8013
Hg2 0.3984 0.1996 0.5980
Hg3 0.6016 0.8004 0.4020
Hg4 0.8004 0.3984 0.1987
S1 0.1035 0.3042 0.4077
S2 0.3042 0.8965 0.2008
S3 0.5000 0.5000 0.0000
S4 0.6958 0.1035 0.7992
S5 0.8965 0.6958 0.5923

Record 7
Here is a relaxed structure of Tl2HgS2 from Alexandria. Energies are from PBE-GGA.

Symmetry = C2/c (15)
E above lowest polymorph = 0.00 kJ per mole of atoms

Unit cell a=7.2686 b=7.2686 c=7.7548 alpha=107.36 beta=107.36 gamma=110.83
Atoms (fractional coordinates):
Tl1 0.0796 0.9204 0.7500
Tl2 0.3244 0.6756 0.2500
Tl3 0.6756 0.3244 0.7500
Tl4 0.9204 0.0796 0.2500
Hg1 0.3788 0.6212 0.7500
Hg2 0.6212 0.3788 0.2500
S1 0.0945 0.3387 0.7528
S2 0.3387 0.0945 0.2528
S3 0.6613 0.9055 0.7472
S4 0.9055 0.6613 0.2472

Record 8
Here is a relaxed structure of Tl2HgS2 from Alexandria. Energies are from PBE-GGA.

Symmetry = P4/mbm (127)
E above lowest polymorph = 26.24 kJ per mole of atoms

Unit cell a=8.2204 b=8.2204 c=3.7164 alpha=90.00 beta=90.00 gamma=90.00
Atoms (fractional coordinates):
Tl1 0.1516 0.3484 0.0000
Tl2 0.3484 0.8484 0.0000
Tl3 0.6516 0.1516 0.0000
Tl4 0.8484 0.6516 0.0000
Hg1 0.0000 0.0000 0.0000
Hg2 0.5000 0.5000 0.0000
S1 0.1466 0.6466 0.5000
S2 0.3534 0.1466 0.5000
S3 0.6466 0.8534 0.5000
S4 0.8534 0.3534 0.5000

Number 1: formation energy from raw total energies -3.6 kcal/mol of atoms. Number 2: formation energy from raw total energies 1.2 kcal/mol of atoms. Number 3: formation energy from raw total energies -0.7 kcal/mol of atoms. Number 4: formation energy from raw total energies -2.4 kcal/mol of atoms. Number 5: formation energy from raw total energies -2.9 kcal/mol of atoms. Number 6: formation energy from raw total energies -0.5 kcal/mol of atoms. Number 7: formation energy from raw total energies -5.3 kcal/mol of atoms. Number 8: formation energy from raw total energies 1.0 kcal/mol of atoms.